1.
A plane-wave DFT calculation with PBE-GGA was carried out for an optimized crystal structure of Zn3InPt4.

Cell and atoms, written as CIF:
```
data_Zn3InPt4
_cell_length_a 7.816
_cell_length_b 7.816
_cell_length_c 7.816
_cell_angle_alpha 149.36
_cell_angle_beta 149.36
_cell_angle_gamma 43.89
_symmetry_space_group_name_H-M 'P 1'
_symmetry_Int_Tables_number 1
loop_
_symmetry_equiv_pos_as_xyz
'x,y,z'
loop_
_atom_site_label
_atom_site_fract_x
_atom_site_fract_y
_atom_site_fract_z
Zn1 0.000 0.000 0.000
Zn2 0.249 0.249 0.000
Zn3 0.751 0.751 0.000
In1 0.500 0.500 0.000
Pt1 0.131 0.631 0.500
Pt2 0.369 0.869 0.500
Pt3 0.631 0.131 0.500
Pt4 0.869 0.369 0.500
```

Results
raw total energy = -4.359 eV/atom
density of states at the Fermi level = 0.34 states/eV per atom
space-group type = I4/mmm
energy of formation from the pure elements = -0.52 eV per atom

***

2.
A plane-wave DFT calculation with PBE-GGA was carried out for an optimized crystal structure of Y4ZnPd2.

Cell and atoms, written as CIF:
```
data_Y4ZnPd2
_cell_length_a 7.908
_cell_length_b 7.908
_cell_length_c 7.908
_cell_angle_alpha 140.51
_cell_angle_beta 140.51
_cell_angle_gamma 57.08
_symmetry_space_group_name_H-M 'P 1'
_symmetry_Int_Tables_number 1
loop_
_symmetry_equiv_pos_as_xyz
'x,y,z'
loop_
_atom_site_label
_atom_site_fract_x
_atom_site_fract_y
_atom_site_fract_z
Y1 0.000 0.500 0.500
Y2 0.203 0.203 0.000
Y3 0.500 0.000 0.500
Y4 0.797 0.797 0.000
Zn1 0.000 0.000 0.000
Pd1 0.397 0.397 0.000
Pd2 0.603 0.603 0.000
```

Results
raw total energy = -5.501 eV/atom
density of states at the Fermi level = 1.29 states/eV per atom
space-group type = I4/mmm
polymorph energy (0 for the lowest one) = 417 meV/atom
energy of formation from the pure elements = -0.14 eV per atom

***

- Number 2 is which compound?
  Y4ZnPd2

***

- What is the density of states at the Fermi level in the second record?
  1.29 states/eV per atom

***

- Number 1 is which compound?
  Zn3InPt4

***

- Which of these has the lowest density of states at the Fermi level?
  Zn3InPt4